Entry 1:
A relaxed structure of ScPaReRu, computed with PBE-GGA.

E_tot	-9.71	eV per atom
ΔE_f	-0.324	eV/atom

a = 4.7385 Å, b = 4.7385 Å, c = 4.7385 Å
α = 60.00°, β = 60.00°, γ = 60.00°
Fractional coordinates of all 4 atoms:
Sc 0.0000 0.0000 0.0000
Pa 0.5000 0.5000 0.5000
Re 0.7500 0.7500 0.7500
Ru 0.2500 0.2500 0.2500

=====

Entry 2:
A relaxed structure of La6Ru2PtBr3, computed with PBE-GGA.

E_tot	-6.03	eV per atom
raw formation energy	-1.100	eV per atom

a = 7.2578 Å, b = 7.2578 Å, c = 8.2958 Å
α = 98.37°, β = 98.37°, γ = 120.00°
Fractional coordinates of all 12 atoms:
La 0.0894 0.4346 0.8035
La 0.2198 0.2198 0.1963
La 0.4346 0.0894 0.8035
La 0.5654 0.9106 0.1965
La 0.7802 0.7802 0.8037
La 0.9106 0.5654 0.1965
Ru 0.1665 0.8335 0.0000
Ru 0.8335 0.1665 0.0000
Pt 0.5000 0.5000 0.0000
Br 0.0000 0.0000 0.5000
Br 0.3317 0.6683 0.5000
Br 0.6683 0.3317 0.5000

=====

Entry 3:
A relaxed structure of TaCrAu2, computed with PBE-GGA.

excess energy over the best structure of this formula in the dataset	4.8	kJ/mol of atoms
E_tot	-6.87	eV per atom
ΔE_f	0.133	eV/atom

a = 2.9605 Å, b = 2.9605 Å, c = 7.8594 Å
α = 90.00°, β = 90.00°, γ = 90.00°
Fractional coordinates of all 4 atoms:
Ta 0.0000 0.0000 0.0000
Cr 0.0000 0.0000 0.5000
Au 0.5000 0.5000 0.2557
Au 0.5000 0.5000 0.7443

=====

> Among the records above, which one has the highest E_tot?

La6Ru2PtBr3